PBE BeCr2Cu, relaxed; calculated volume = 44 Å³/cell; energy of formation = 226 meV per atom; total magnetic moment = 0.0 μB per formula unit
1.0
8.444 -0.002 -0.001
8.081 2.449 -0.001
8.081 1.197 2.137
Cu Cr Be
1 2 1
direct
0.494 0.494 0.494 Cu
0.005 0.005 0.005 Cr
0.250 0.250 0.250 Cr
0.751 0.751 0.751 Be